This record from Alexandria describes a relaxed Tb7Nd4Ho crystal. The functional is GGA-PBE.

Cell and atoms, written as CIF:
```
data_Tb7Nd4Ho
_cell_length_a 6.754
_cell_length_b 6.754
_cell_length_c 12.846
_cell_angle_alpha 114.89
_cell_angle_beta 114.89
_cell_angle_gamma 52.40
_space_group_name_H-M_alt 'P 1'
_space_group_IT_number 1
loop_
_space_group_symop_operation_xyz
'x,y,z'
loop_
_atom_site_label
_atom_site_fract_x
_atom_site_fract_y
_atom_site_fract_z
Tb1 0.000 0.000 0.000
Tb2 0.212 0.212 0.923
Tb3 0.257 0.257 0.688
Tb4 0.364 0.364 0.496
Tb5 0.636 0.636 0.504
Tb6 0.743 0.743 0.312
Tb7 0.788 0.788 0.077
Nd1 0.056 0.056 0.333
Nd2 0.363 0.363 0.222
Nd3 0.637 0.637 0.778
Nd4 0.944 0.944 0.667
Ho1 0.500 0.500 0.000
```

Computed properties:
E above lowest polymorph	0.178	eV per atom
calculated formation energy	0.265	eV per atom